1.
ZrOs2Ru: relaxed, PBE.

Unit cell a=2.8368 b=3.8867 c=5.8320 alpha=90.00 beta=90.00 gamma=90.00
Fractional positions:
Zr: 0.0000 0.0000 0.0000
Os: 0.0000 0.0000 0.4952
Os: 0.5000 0.5000 0.2883
Ru: 0.5000 0.5000 0.7343

Summary:
Uncorrected energy, eV/cell: -40.262
Total magnetic moment, Bohr magnetons per cell: 0.00
Formation enthalpy at 0 K, eV/atom: 0.01
Energy above the lowest structure with this stoichiometry, kJ/mol of atoms: 6.0
ρ, g cm⁻³: 14.8

---

2.
V2Mo3W: relaxed, PBE.

Unit cell a=6.8685 b=6.8685 c=7.0219 alpha=112.94 beta=112.94 gamma=37.95
Fractional positions:
V: 0.0167 0.0167 0.1679
V: 0.2625 0.2625 0.3533
V: 0.7375 0.7375 0.6467
V: 0.9833 0.9833 0.8321
Mo: 0.1145 0.1145 0.5330
Mo: 0.1964 0.1964 0.9390
Mo: 0.4494 0.4494 0.2830
Mo: 0.5506 0.5506 0.7170
Mo: 0.8036 0.8036 0.0610
Mo: 0.8855 0.8855 0.4670
W: 0.3689 0.3689 0.8106
W: 0.6311 0.6311 0.1894

Summary:
Uncorrected energy, eV/cell: -124.232
Total magnetic moment, Bohr magnetons per cell: 0.00
Formation enthalpy at 0 K, eV/atom: 0.26
Energy above the lowest structure with this stoichiometry, kJ/mol of atoms: 35.5
ρ, g cm⁻³: 10.3

---

3.
ThCdSi2Pd5: relaxed, PBE.

Unit cell a=4.3145 b=4.3145 c=8.6123 alpha=90.00 beta=90.00 gamma=90.00
Fractional positions:
Th: 0.0000 0.0000 0.0000
Cd: 0.0000 0.0000 0.5000
Si: 0.5000 0.5000 0.3678
Si: 0.5000 0.5000 0.6322
Pd: 0.0000 0.5000 0.2400
Pd: 0.0000 0.5000 0.7600
Pd: 0.5000 0.0000 0.2400
Pd: 0.5000 0.0000 0.7600
Pd: 0.5000 0.5000 0.0000

Summary:
Uncorrected energy, eV/cell: -50.828
Uncorrected formation energy, meV per atom: -631
Total magnetic moment, Bohr magnetons per cell: 0.00
ρ, g cm⁻³: 9.7

---

4.
CaSiP4: relaxed, PBE.

Unit cell a=5.3485 b=5.3485 c=5.3485 alpha=60.00 beta=60.00 gamma=60.00
Fractional positions:
Ca: 0.0000 0.0000 0.0000
Si: 0.2500 0.2500 0.2500
P: 0.1676 0.6108 0.6108
P: 0.6108 0.1676 0.6108
P: 0.6108 0.6108 0.1676
P: 0.6108 0.6108 0.6108

Summary:
Uncorrected energy, eV/cell: -27.729
Uncorrected formation energy, meV per atom: 223
Total magnetic moment, Bohr magnetons per cell: 0.00
ρ, g cm⁻³: 2.9

---

5.
AcTbPr2Nd4: relaxed, PBE.

Unit cell a=9.7986 b=9.7986 c=7.0910 alpha=110.99 beta=110.99 gamma=88.51
Fractional positions:
Ac: 0.0000 0.5000 0.0000
Ac: 0.5000 0.0000 0.5000
Tb: 0.0000 0.0000 0.0000
Tb: 0.0000 0.0000 0.5000
Pr: 0.0000 0.5000 0.5000
Pr: 0.5000 0.0000 0.0000
Pr: 0.5000 0.5000 0.0000
Pr: 0.5000 0.5000 0.5000
Nd: 0.2384 0.2531 0.4596
Nd: 0.2445 0.7546 0.5142
Nd: 0.2454 0.7555 0.9858
Nd: 0.2531 0.2384 0.9596
Nd: 0.7469 0.7616 0.0404
Nd: 0.7546 0.2445 0.0142
Nd: 0.7555 0.2454 0.4858
Nd: 0.7616 0.7469 0.5404

Summary:
Uncorrected energy, eV/cell: -68.829
Total magnetic moment, Bohr magnetons per cell: 0.00
Formation enthalpy at 0 K, eV/atom: 0.37
ρ, g cm⁻³: 7.0

---

6.
Gd3AuC: relaxed, PBE.

Unit cell a=4.9113 b=4.9113 c=4.9113 alpha=90.00 beta=90.00 gamma=90.00
Fractional positions:
Gd: 0.0000 0.0000 0.5000
Gd: 0.0000 0.5000 0.0000
Gd: 0.5000 0.0000 0.0000
Au: 0.5000 0.5000 0.5000
C: 0.0000 0.0000 0.0000

Summary:
Uncorrected energy, eV/cell: -56.758
Total magnetic moment, Bohr magnetons per cell: 22.85
Formation enthalpy at 0 K, eV/atom: -0.40
ρ, g cm⁻³: 9.5

---

Which value of uncorrected energy does entry 6 give? -56.758 eV/cell

---

Among the records above, which one has the highest ρ? ZrOs2Ru